16
Lattice="7.216 0.000 0.000 0.000 6.236 0.000 0.000 0.000 11.610" Properties=species:S:1:pos:R:3 comment="Nd3Dy4Er, optimized geometry, DFT PBE" e_form_ev_per_fu=0.0 dos_at_fermi_per_ev_fu=10.24 pbc="T T T"
Nd 4.975 5.192 0.000
Nd 1.369 3.132 2.886
Nd 4.977 3.105 2.919
Nd 1.367 1.044 5.805
Nd 4.977 3.105 8.691
Nd 1.369 3.132 8.724
Dy 1.363 5.196 0.000
Dy 3.163 2.076 0.000
Dy 6.778 0.001 2.900
Dy 3.170 6.235 2.905
Dy 6.771 4.160 5.805
Dy 4.971 1.040 5.805
Dy 3.170 6.235 8.705
Dy 6.778 0.001 8.710
Er 6.789 2.077 0.000
Er 3.181 4.160 5.805

---

5
Lattice="4.373 0.000 0.000 0.000 4.373 0.000 0.000 0.000 3.519" Properties=species:S:1:pos:R:3 comment="Mg2CoPtN, optimized geometry, DFT PBE" formation_energy_uncorrected_mev_per_atom=-470 dos_at_fermi_per_ev_fu=3.07 pbc="T T T"
Mg 0.000 2.187 0.000
Mg 2.187 0.000 0.000
Co 0.000 0.000 1.760
Pt 2.187 2.187 1.760
N 0.000 0.000 0.000

---

12
Lattice="-1.204 -0.932 -3.569 7.211 -2.701 -1.727 -2.105 -7.292 2.613" Properties=species:S:1:pos:R:3 comment="KGePd4, optimized geometry, DFT PBE" e_form_ev_per_fu=-1.2 dos_at_fermi_per_ev_fu=2.78 pbc="T T T"
K 2.767 -7.096 0.919
K 2.340 -2.896 -0.033
Ge -0.256 -5.964 1.643
Ge 5.363 -4.028 -0.757
Pd -1.053 -3.646 1.307
Pd 0.000 0.000 0.000
Pd 4.614 -8.479 -1.452
Pd -0.711 -2.445 -1.231
Pd 4.670 -2.952 -2.914
Pd -0.767 -7.972 0.231
Pd 3.884 -5.674 -1.938
Pd 0.019 -5.250 -0.745